(1)
VASP calculation (GGA-PBE) on a relaxed ErPuGeIr crystal.

Calculated volume   21.23 Å³/atom
ΔH_f (0 K)   -510.1 meV/atom

Cell lengths 4.933, 4.933, 4.933 Å; angles 60.00, 60.00, 60.00 degrees
Positions (direct):
Er1 0.500 0.500 0.500
Ge1 0.250 0.250 0.250
Ir1 0.750 0.750 0.750
Pu1 0.000 0.000 0.000

(2)
VASP calculation (GGA-PBE) on a relaxed ErGe2IrRh crystal.

Calculated volume   17.66 Å³/atom
ΔH_f (0 K)   -806.0 meV/atom

Cell lengths 4.142, 4.142, 5.923 Å; angles 110.46, 110.46, 90.00 degrees
Positions (direct):
Er1 0.000 0.000 0.000
Ge1 0.620 0.620 0.241
Ge2 0.380 0.380 0.759
Ir1 0.250 0.750 0.500
Rh1 0.750 0.250 0.500